w:
DFT (PBE) results for an optimized crystal structure of Pm3AuN.

Values from the calculation:
Density: 8.99 g cm⁻³

Cell: 4.922 4.922 4.922 Å, 90.00 90.00 90.00°
Space group Pm-3m (No. 221)
One atom of each set of equivalent atoms:
1 Pm 0.000 0.000 0.500 x3
2 Au 0.500 0.500 0.500 x1
3 N 0.000 0.000 0.000 x1

x:
DFT (PBE) results for an optimized crystal structure of Pm3AuN.

Values from the calculation:
Density: 9.05 g cm⁻³

Cell: 3.721 13.122 9.713 Å, 90.00 90.00 90.00°
Space group Cmcm (No. 63)
One atom of each set of equivalent atoms:
1 Pm 0.000 0.057 0.250 x4
2 Pm 0.000 0.376 0.057 x8
3 Au 0.000 0.250 0.750 x4
4 N 0.000 0.000 0.000 x4

y:
DFT (PBE) results for an optimized crystal structure of Pm3AuN.

Values from the calculation:
Density: 8.94 g cm⁻³

Cell: 9.558 13.415 3.741 Å, 90.00 90.00 90.00°
Space group Cmmm (No. 65)
One atom of each set of equivalent atoms:
1 Pm 0.000 0.188 0.000 x4
2 Pm 0.194 0.368 0.500 x8
3 Au 0.000 0.000 0.500 x2
4 Au 0.000 0.500 0.000 x2
5 N 0.250 0.250 0.000 x4

Quick one: most stable of them? x

w:
DFT (PBE) results for an optimized crystal structure of Pm4Au2N.

Values from the calculation:
Density: 9.16 g cm⁻³

Cell: 4.918 4.918 14.802 Å, 90.00 90.00 90.00°
Space group I4/mmm (No. 139)
One atom of each set of equivalent atoms:
1 Pm 0.000 0.000 0.174 x4
2 Pm 0.000 0.500 0.000 x4
3 Au 0.000 0.000 0.371 x4
4 N 0.000 0.000 0.000 x2

x:
DFT (PBE) results for an optimized crystal structure of Pm4Au2N.

Values from the calculation:
Density: 8.55 g cm⁻³

Cell: 7.031 7.140 7.975 Å, 90.00 106.46 90.00°
Space group P2_1/m (No. 11)
One atom of each set of equivalent atoms:
1 Pm 0.013 0.009 0.253 x4
2 Pm 0.418 0.250 0.591 x2
3 Pm 0.430 0.250 0.122 x2
4 Au 0.223 0.750 0.553 x2
5 Au 0.238 0.750 0.061 x2
6 N 0.239 0.250 0.306 x2

Quick one: most stable of them? w

w:
DFT (PBE) results for an optimized crystal structure of Pm2AuN.

Values from the calculation:
Density: 9.62 g cm⁻³

Cell: 3.6822 3.6822 22.1014 Å, 90.00 90.00 120.00°
Space group R-3m (No. 166, hexagonal axes)
One atom of each set of equivalent atoms:
1 Pm 0.0000 0.0000 0.2297 x6
2 Au 0.0000 0.0000 0.0000 x3
3 N 0.0000 0.0000 0.5000 x3

x:
DFT (PBE) results for an optimized crystal structure of Pm2AuN.

Values from the calculation:
Density: 10.74 g cm⁻³

Cell: 3.227 3.227 7.438 Å, 90.00 90.00 90.00°
Space group P4/mmm (No. 123)
One atom of each set of equivalent atoms:
1 Pm 0.000 0.000 0.200 x2
2 Au 0.500 0.500 0.500 x1
3 N 0.500 0.500 0.000 x1

Quick one: most stable of them? w

w:
DFT (PBE) results for an optimized crystal structure of Pr4Au2N.

Values from the calculation:
Density: 8.55 g cm⁻³

Cell: 5.023 5.023 14.953 Å, 90.00 90.00 90.00°
Space group I4/mmm (No. 139)
One atom of each set of equivalent atoms:
1 Pr 0.000 0.000 0.175 x4
2 Pr 0.000 0.500 0.000 x4
3 Au 0.000 0.000 0.372 x4
4 N 0.000 0.000 0.000 x2

x:
DFT (PBE) results for an optimized crystal structure of Pr4Au2N.

Values from the calculation:
Density: 8.47 g cm⁻³

Cell: 7.388 13.284 3.880 Å, 90.00 90.00 90.00°
Space group Pbam (No. 55)
One atom of each set of equivalent atoms:
1 Pr 0.104 0.184 0.000 x4
2 Pr 0.226 0.960 0.500 x4
3 Au 0.076 0.667 0.500 x4
4 N 0.000 0.000 0.000 x2

Quick one: most stable of them? w

w:
DFT (PBE) results for an optimized crystal structure of PtAuN2.

Values from the calculation:
Density: 13.22 g cm⁻³

Cell: 3.1551 3.1551 18.3567 Å, 90.00 90.00 120.00°
Space group R-3m (No. 166, hexagonal axes)
One atom of each set of equivalent atoms:
1 Pt 0.0000 0.0000 0.0000 x3
2 Au 0.0000 0.0000 0.5000 x3
3 N 0.0000 0.0000 0.3885 x6

x:
DFT (PBE) results for an optimized crystal structure of PtAuN2.

Values from the calculation:
Density: 12.47 g cm⁻³

Cell: 4.407 4.407 11.522 Å, 90.00 90.00 90.00°
Space group I-42d (No. 122)
One atom of each set of equivalent atoms:
1 Pt 0.000 0.000 0.000 x4
2 Au 0.000 0.000 0.500 x4
3 N 0.214 0.250 0.125 x8

y:
DFT (PBE) results for an optimized crystal structure of PtAuN2.

Values from the calculation:
Density: 14.84 g cm⁻³

Cell: 5.729 5.729 5.729 Å, 90.00 90.00 90.00°
Space group Fm-3m (No. 225)
One atom of each set of equivalent atoms:
1 Pt 0.000 0.000 0.000 x4
2 Au 0.000 0.000 0.500 x4
3 N 0.250 0.250 0.250 x8

z:
DFT (PBE) results for an optimized crystal structure of PtAuN2.

Values from the calculation:
Density: 13.23 g cm⁻³

Cell: 3.1537 3.1537 18.3670 Å, 90.00 90.00 120.00°
Space group R-3m (No. 166, hexagonal axes)
One atom of each set of equivalent atoms:
1 Pt 0.0000 0.0000 0.0000 x3
2 Au 0.0000 0.0000 0.5000 x3
3 N 0.0000 0.0000 0.1073 x6

Quick one: most stable of them? w

w:
DFT (PBE) results for an optimized crystal structure of Pt3AuN.

Values from the calculation:
Density: 10.88 g cm⁻³

Cell: 4.953 4.953 4.953 Å, 90.00 90.00 90.00°
Space group Pm-3m (No. 221)
One atom of each set of equivalent atoms:
1 Pt 0.000 0.000 0.500 x3
2 Au 0.000 0.000 0.000 x1
3 N 0.500 0.500 0.500 x1

x:
DFT (PBE) results for an optimized crystal structure of Pt3AuN.

Values from the calculation:
Density: 17.70 g cm⁻³

Cell: 4.212 4.212 4.212 Å, 90.00 90.00 90.00°
Space group Pm-3m (No. 221)
One atom of each set of equivalent atoms:
1 Pt 0.000 0.000 0.500 x3
2 Au 0.500 0.500 0.500 x1
3 N 0.000 0.000 0.000 x1

Quick one: most stable of them? x

w:
DFT (PBE) results for an optimized crystal structure of PtAu3N.

Values from the calculation:
Density: 10.24 g cm⁻³

Cell: 5.062 5.062 5.062 Å, 90.00 90.00 90.00°
Space group Pm-3m (No. 221)
One atom of each set of equivalent atoms:
1 Pt 0.000 0.000 0.000 x1
2 Au 0.000 0.000 0.500 x3
3 N 0.500 0.500 0.500 x1

x:
DFT (PBE) results for an optimized crystal structure of PtAu3N.

Values from the calculation:
Density: 16.45 g cm⁻³

Cell: 4.322 4.322 4.322 Å, 90.00 90.00 90.00°
Space group Pm-3m (No. 221)
One atom of each set of equivalent atoms:
1 Pt 0.000 0.000 0.000 x1
2 Au 0.000 0.500 0.500 x3
3 N 0.500 0.500 0.500 x1

Quick one: most stable of them? x

w:
DFT (PBE) results for an optimized crystal structure of Rb2PtAuN.

Values from the calculation:
Density: 5.90 g cm⁻³

Cell: 6.616 6.616 3.711 Å, 90.00 90.00 90.00°
Space group P4/mmm (No. 123)
One atom of each set of equivalent atoms:
1 Rb 0.000 0.500 0.000 x2
2 Pt 0.000 0.000 0.000 x1
3 Au 0.500 0.500 0.500 x1
4 N 0.000 0.000 0.500 x1

x:
DFT (PBE) results for an optimized crystal structure of Rb2PtAuN.

Values from the calculation:
Density: 6.48 g cm⁻³

Cell: 6.304 6.304 3.723 Å, 90.00 90.00 90.00°
Space group P4/mmm (No. 123)
One atom of each set of equivalent atoms:
1 Rb 0.000 0.500 0.000 x2
2 Pt 0.000 0.000 0.500 x1
3 Au 0.500 0.500 0.500 x1
4 N 0.000 0.000 0.000 x1

Quick one: most stable of them? x